1.
Here is a relaxed AgSeBr2 crystal from the Alexandria database. Energies are from PBE.

Geometry as POSCAR:
```
AgSeBr2
1.0
0.142 -3.840 -3.516
2.116 -4.594 1.244
-3.036 -4.190 0.596
Se Br Ag
1 2 1
direct
0.000 0.000 0.000
0.250 0.250 0.250
0.750 0.750 0.750
0.500 0.500 0.500
```

Values from the calculation:
Uncorrected energy   -7.91 eV for the cell shown
ΔE_f (raw)   0.443 eV/atom
Space group   Fm-3m



2.
Here is a relaxed LaTbPtBr crystal from the Alexandria database. Energies are from PBE.

Geometry as POSCAR:
```
LaTbPtBr
1.0
-1.629 0.582 -3.778
3.954 -1.216 0.393
-2.528 -7.494 2.220
La Br Tb Pt
1 1 1 1
direct
0.504 0.150 0.669
0.962 0.379 0.356
0.102 0.949 0.066
0.311 0.553 0.879
```

Values from the calculation:
Uncorrected energy   -22.40 eV for the cell shown
ΔE_f (raw)   -1.282 eV/atom
Space group   R3m



3.
Here is a relaxed YReNi2 crystal from the Alexandria database. Energies are from PBE.

Geometry as POSCAR:
```
YReNi2
1.0
-5.979 -6.044 2.930
-5.206 -7.317 0.483
-3.648 -7.708 2.855
Ni Y Re
2 1 1
direct
0.748 0.748 0.748
0.010 0.010 0.010
0.255 0.255 0.255
0.487 0.487 0.487
```

Values from the calculation:
Uncorrected energy   -28.44 eV for the cell shown
Space group   R3m
Formation energy   507 meV/atom